Record 1
Below is a geometry-optimized Be2AsP structure, with properties calculated at the PBE level.

abc: 4.319 4.319 4.319
angles: 125.83 125.83 80.18
Atoms (fractional coordinates):
P 0.250 0.750 0.500
As 0.750 0.250 0.500
Be 0.000 0.000 0.000
Be 0.500 0.500 0.000

Magnetic moment in μB/f.u.: 0.00
DOS(E_F) in states/eV per cell: 1.77
Formation enthalpy at 0 K in eV per atom: 0.54


Record 2
Below is a geometry-optimized BeAs2P structure, with properties calculated at the PBE level.

abc: 5.701 5.701 6.200
angles: 137.08 137.08 78.01
Atoms (fractional coordinates):
P 0.791 0.209 0.500
As 0.002 0.998 0.000
As 0.241 0.759 0.500
Be 0.466 0.534 0.000

Magnetic moment in μB/f.u.: 0.00
DOS(E_F) in states/eV per cell: 1.78
Formation enthalpy at 0 K in eV per atom: 0.22


Record 3
Below is a geometry-optimized BeAs2P structure, with properties calculated at the PBE level.

abc: 4.458 4.458 4.458
angles: 60.00 60.00 60.00
Atoms (fractional coordinates):
P 0.500 0.500 0.500
As 0.250 0.250 0.250
As 0.750 0.750 0.750
Be 0.000 0.000 0.000

Magnetic moment in μB/f.u.: 0.00
DOS(E_F) in states/eV per cell: 2.20
Formation enthalpy at 0 K in eV per atom: 0.65